[1]
First-principles (PBE) data for a relaxed structure of PaNiHg, as listed in Alexandria.

The structure in POSCAR format:
```
PaNiHg
1.0
4.3474 0.0000 0.0000
2.1737 3.7650 0.0000
2.1737 1.2550 7.3663
Ni Hg Pa
2 2 2
direct
0.0755 0.0755 0.7736
0.9245 0.9245 0.2264
0.6331 0.6331 0.1007
0.3669 0.3669 0.8993
0.2024 0.2024 0.3928
0.7976 0.7976 0.6072
```

Properties
energy of formation from the pure elements: 23 meV/atom
energy relative to the lowest polymorph listed for this composition: 285.3 meV/atom

[2]
First-principles (PBE) data for a relaxed structure of SrHg3Pt3, as listed in Alexandria.

The structure in POSCAR format:
```
SrHg3Pt3
1.0
7.4747 0.0000 0.0000
0.0000 7.4747 0.0000
0.0000 0.0000 7.4747
Sr Hg Pt
2 6 6
direct
0.5000 0.5000 0.5000
0.0000 0.0000 0.0000
0.0000 0.2500 0.5000
0.0000 0.7500 0.5000
0.5000 0.0000 0.7500
0.7500 0.5000 0.0000
0.5000 0.0000 0.2500
0.2500 0.5000 0.0000
0.2500 0.0000 0.5000
0.0000 0.5000 0.2500
0.5000 0.7500 0.0000
0.7500 0.0000 0.5000
0.0000 0.5000 0.7500
0.5000 0.2500 0.0000
```

Properties
energy of formation from the pure elements: 187 meV/atom

[3]
First-principles (PBE) data for a relaxed structure of HfMnCuS4, as listed in Alexandria.

The structure in POSCAR format:
```
HfMnCuS4
1.0
-4.2912 -5.8335 -0.6905
2.8490 -6.4736 -1.3353
-0.1349 -5.0442 5.1328
Hf Mn Cu S
2 2 2 8
direct
0.5000 0.0000 0.5000
0.0000 0.0000 0.5000
0.0000 0.0000 0.0000
0.0000 0.5000 0.5000
0.6187 0.6313 0.1313
0.3813 0.3687 0.8687
0.7560 0.7484 0.7395
0.2440 0.7605 0.7516
0.7560 0.2395 0.2484
0.2440 0.2516 0.2605
0.2328 0.7492 0.2492
0.7688 0.7492 0.2492
0.2312 0.2508 0.7508
0.7672 0.2508 0.7508
```

Properties
formation energy without anion corrections: -930 meV per atom

[4]
First-principles (PBE) data for a relaxed structure of Y2Zn2Cd3, as listed in Alexandria.

The structure in POSCAR format:
```
Y2Zn2Cd3
1.0
4.3578 0.0000 0.0000
-2.1789 5.3863 0.0281
0.0000 -1.2034 6.7530
Y Zn Cd
2 2 3
direct
0.6267 0.2534 0.3436
0.3733 0.7466 0.6564
0.0894 0.1788 0.6444
0.9106 0.8212 0.3556
0.3075 0.6150 0.1428
0.0000 0.0000 0.0000
0.6925 0.3850 0.8572
```

Properties
energy of formation from the pure elements: -274 meV/atom
energy relative to the lowest polymorph listed for this composition: 29.5 meV/atom

[5]
First-principles (PBE) data for a relaxed structure of Na2TaTlRu, as listed in Alexandria.

The structure in POSCAR format:
```
Na2TaTlRu
1.0
-1.3374 3.8498 2.7024
-2.9574 -3.0913 2.9403
3.7898 -0.7821 2.9897
Ru Tl Na Ta
1 1 2 1
direct
0.0000 0.5000 0.0000
0.0000 0.0000 0.0000
0.0000 0.0000 0.5000
0.5000 0.0000 0.0000
0.5000 0.5000 0.5000
```

Properties
energy of formation from the pure elements: 1798 meV/atom

[6]
First-principles (PBE) data for a relaxed structure of Sr3PbN, as listed in Alexandria.

The structure in POSCAR format:
```
Sr3PbN
1.0
-9.7795 4.6187 -10.3491
1.5388 1.7424 -9.6277
6.6369 -7.3280 -0.5908
Pb Sr N
4 12 4
direct
0.0880 0.5223 0.3334
0.4120 0.8334 0.0223
0.9120 0.4777 0.6666
0.5880 0.1666 0.9777
0.4154 0.4120 0.4494
0.0846 0.9494 0.9120
0.5846 0.5880 0.5506
0.9154 0.0506 0.0880
0.0662 0.2370 0.1476
0.4338 0.6476 0.7370
0.9338 0.7630 0.8524
0.5662 0.3524 0.2630
0.5784 0.8663 0.8397
0.9216 0.3397 0.3663
0.4216 0.1337 0.1603
0.0784 0.6603 0.6337
0.7500 0.1789 0.6789
0.2500 0.8211 0.3211
0.7500 0.4669 0.9669
0.2500 0.5331 0.0331
```

Properties
formation energy without anion corrections: -492 meV per atom

[7]
First-principles (PBE) data for a relaxed structure of Ho8Ge3SbTe4, as listed in Alexandria.

The structure in POSCAR format:
```
Ho8Ge3SbTe4
1.0
-4.9484 6.7902 -1.4571
0.1922 -1.6732 -8.4500
-2.5539 -6.0479 5.4421
Ho Ge Sb Te
8 3 1 4
direct
0.2472 0.7237 0.9764
0.2472 0.7236 0.4945
0.2603 0.2807 0.5205
0.7292 0.7237 0.9764
0.2708 0.2763 0.0236
0.7397 0.7193 0.4795
0.7528 0.2764 0.5055
0.7528 0.2763 0.0236
0.5000 0.5000 0.0000
0.5000 0.5000 0.5000
0.0000 0.5000 0.5000
0.0000 0.5000 0.0000
0.5000 0.0000 0.0000
0.5000 0.0000 0.5000
0.0000 0.0000 0.0000
0.0000 0.0000 0.5000
```

Properties
formation energy without anion corrections: -1200 meV per atom

[8]
First-principles (PBE) data for a relaxed structure of Ac8OsRu3, as listed in Alexandria.

The structure in POSCAR format:
```
Ac8OsRu3
1.0
8.7255 0.0000 0.0000
-4.3628 6.2213 -4.2907
0.0000 -0.4660 8.2282
Ac Os Ru
8 1 3
direct
0.2547 0.5094 0.7645
0.7453 0.4906 0.2355
0.2541 0.0090 0.7642
0.7549 0.0090 0.7642
0.7548 0.5095 0.7641
0.2452 0.4905 0.2359
0.2451 0.9910 0.2358
0.7459 0.9910 0.2358
0.0000 0.0000 0.0000
0.5000 0.0000 0.0000
0.5000 0.5000 0.0000
0.0000 0.5000 0.0000
```

Properties
energy of formation from the pure elements: -138 meV/atom

Number 1: Fermi-level density of states 6.7 states/eV/cell, magnetic moment 0.00 μB per formula unit. Number 2: Fermi-level density of states 5.9 states/eV/cell, magnetic moment 0.00 μB per formula unit. Number 3: Fermi-level density of states 4.1 states/eV/cell, magnetic moment 3.93 μB per formula unit. Number 4: Fermi-level density of states 5.8 states/eV/cell, magnetic moment 0.00 μB per formula unit. Number 5: Fermi-level density of states 6.7 states/eV/cell, magnetic moment 0.00 μB per formula unit. Number 6: Fermi-level density of states 6.7 states/eV/cell, magnetic moment 0.00 μB per formula unit. Number 7: Fermi-level density of states 3.3 states/eV/cell, magnetic moment 0.00 μB per formula unit. Number 8: Fermi-level density of states 3.4 states/eV/cell, magnetic moment 0.00 μB per formula unit.